(1)
Here is crystalline NaScZnTe3 at its relaxed geometry from OQMD via LeMat-Bulk. Energies are from PBE-GGA.

a b c (Å): 7.633 7.633 11.187
angles (deg): 90.00 90.00 148.25
Positions (direct):
Na (0.235, 0.765, 0.750)
Na (0.765, 0.235, 0.250)
Sc (0.000, 0.000, 0.000)
Sc (0.000, 0.000, 0.500)
Zn (0.468, 0.532, 0.250)
Zn (0.532, 0.468, 0.750)
Te (0.083, 0.917, 0.250)
Te (0.365, 0.635, 0.057)
Te (0.365, 0.635, 0.443)
Te (0.635, 0.365, 0.557)
Te (0.635, 0.365, 0.943)
Te (0.917, 0.083, 0.750)

Properties
total magnetization = 0.0 μB per cell
crystal system = orthorhombic
mass density = 5.00 Mg/m³
uncorrected energy = -3.9578 eV/atom

=====

(2)
Here is crystalline NaTmSc at its relaxed geometry from OQMD via LeMat-Bulk. Energies are from PBE-GGA.

a b c (Å): 5.129 5.129 5.129
angles (deg): 60.00 60.00 60.00
Positions (direct):
Na (0.000, 0.000, 0.000)
Tm (0.250, 0.250, 0.250)
Sc (0.750, 0.750, 0.750)

Properties
total magnetization = 1.4 μB per cell
crystal system = cubic
mass density = 4.12 Mg/m³
uncorrected energy = -3.1158 eV/atom

=====

(3)
Here is crystalline NaScW at its relaxed geometry from OQMD via LeMat-Bulk. Energies are from PBE-GGA.

a b c (Å): 4.743 4.743 4.743
angles (deg): 60.00 60.00 60.00
Positions (direct):
Na (0.000, 0.000, 0.000)
Sc (0.250, 0.250, 0.250)
W (0.500, 0.500, 0.500)

Properties
total magnetization = 3.2 μB per cell
crystal system = cubic
mass density = 5.54 Mg/m³
uncorrected energy = -5.0331 eV/atom

=====

(4)
Here is crystalline NaSc2Zn at its relaxed geometry from OQMD via LeMat-Bulk. Energies are from PBE-GGA.

a b c (Å): 5.011 5.011 5.011
angles (deg): 60.00 60.00 60.00
Positions (direct):
Na (0.000, 0.000, 0.000)
Sc (0.250, 0.250, 0.250)
Sc (0.500, 0.500, 0.500)
Zn (0.750, 0.750, 0.750)

Properties
total magnetization = 0.8 μB per cell
crystal system = cubic
mass density = 3.33 Mg/m³
uncorrected energy = -3.5059 eV/atom

=====

(5)
Here is crystalline NaScZn at its relaxed geometry from OQMD via LeMat-Bulk. Energies are from PBE-GGA.

a b c (Å): 4.757 4.757 4.757
angles (deg): 60.00 60.00 60.00
Positions (direct):
Na (0.000, 0.000, 0.000)
Sc (0.250, 0.250, 0.250)
Zn (0.500, 0.500, 0.500)

Properties
total magnetization = 0.8 μB per cell
crystal system = cubic
mass density = 2.91 Mg/m³
uncorrected energy = -2.3614 eV/atom

=====

(6)
Here is crystalline NaZrSc at its relaxed geometry from OQMD via LeMat-Bulk. Energies are from PBE-GGA.

a b c (Å): 5.091 5.091 5.091
angles (deg): 60.00 60.00 60.00
Positions (direct):
Na (0.000, 0.000, 0.000)
Zr (0.500, 0.500, 0.500)
Sc (0.250, 0.250, 0.250)

Properties
total magnetization = 3.5 μB per cell
crystal system = cubic
mass density = 2.83 Mg/m³
uncorrected energy = -4.1056 eV/atom

=====

(7)
Here is crystalline NaTmSiSe3 at its relaxed geometry from OQMD via LeMat-Bulk. Energies are from PBE-GGA.

a b c (Å): 6.944 6.944 10.724
angles (deg): 90.00 90.00 143.63
Positions (direct):
Na (0.249, 0.751, 0.750)
Na (0.751, 0.249, 0.250)
Tm (0.500, 0.500, 0.000)
Tm (0.500, 0.500, 0.500)
Si (0.022, 0.978, 0.250)
Si (0.978, 0.022, 0.750)
Se (0.137, 0.863, 0.065)
Se (0.137, 0.863, 0.435)
Se (0.426, 0.574, 0.250)
Se (0.574, 0.426, 0.750)
Se (0.863, 0.137, 0.565)
Se (0.863, 0.137, 0.935)

Properties
total magnetization = 0.1 μB per cell
crystal system = orthorhombic
mass density = 4.95 Mg/m³
uncorrected energy = -4.4898 eV/atom

=====

(8)
Here is crystalline NaZrSiSe3 at its relaxed geometry from OQMD via LeMat-Bulk. Energies are from PBE-GGA.

a b c (Å): 7.804 7.804 9.371
angles (deg): 90.00 90.00 152.54
Positions (direct):
Na (0.237, 0.763, 0.750)
Na (0.763, 0.237, 0.250)
Zr (0.000, 0.000, 0.000)
Zr (0.000, 0.000, 0.500)
Si (0.474, 0.526, 0.250)
Si (0.526, 0.474, 0.750)
Se (0.107, 0.893, 0.250)
Se (0.366, 0.634, 0.053)
Se (0.366, 0.634, 0.447)
Se (0.634, 0.366, 0.553)
Se (0.634, 0.366, 0.947)
Se (0.893, 0.107, 0.750)

Properties
total magnetization = 0.0 μB per cell
crystal system = orthorhombic
mass density = 4.79 Mg/m³
uncorrected energy = -4.9394 eV/atom

=====

(9)
Here is crystalline NaSm3Se4 at its relaxed geometry from OQMD via LeMat-Bulk. Energies are from PBE-GGA.

a b c (Å): 7.246 7.246 4.158
angles (deg): 90.00 90.00 109.13
Positions (direct):
Na (0.000, 0.000, 0.000)
Sm (0.000, 0.500, 0.500)
Sm (0.500, 0.000, 0.500)
Sm (0.500, 0.500, 0.000)
Se (0.249, 0.751, 0.000)
Se (0.251, 0.251, 0.500)
Se (0.749, 0.749, 0.500)
Se (0.751, 0.249, 0.000)

Properties
total magnetization = 0.0 μB per cell
crystal system = orthorhombic
mass density = 6.36 Mg/m³
uncorrected energy = -5.4396 eV/atom

=====

(10)
Here is crystalline NaSmZnSe3 at its relaxed geometry from OQMD via LeMat-Bulk. Energies are from PBE-GGA.

a b c (Å): 8.331 4.128 9.866
angles (deg): 90.00 103.81 90.00
Positions (direct):
Na (0.208, 0.250, 0.225)
Na (0.792, 0.750, 0.775)
Sm (0.321, 0.750, 0.856)
Sm (0.679, 0.250, 0.144)
Zn (0.083, 0.250, 0.602)
Zn (0.917, 0.750, 0.398)
Se (0.071, 0.250, 0.849)
Se (0.222, 0.750, 0.534)
Se (0.437, 0.750, 0.157)
Se (0.563, 0.250, 0.843)
Se (0.778, 0.250, 0.466)
Se (0.929, 0.750, 0.151)

Properties
total magnetization = 0.0 μB per cell
crystal system = monoclinic
mass density = 4.79 Mg/m³
uncorrected energy = -4.2603 eV/atom

=====

(11)
Here is crystalline NaSmZnSe3 at its relaxed geometry from OQMD via LeMat-Bulk. Energies are from PBE-GGA.

a b c (Å): 7.132 7.132 11.158
angles (deg): 90.00 90.00 146.55
Positions (direct):
Na (0.244, 0.756, 0.750)
Na (0.756, 0.244, 0.250)
Sm (0.000, 0.000, 0.000)
Sm (0.000, 0.000, 0.500)
Zn (0.468, 0.532, 0.250)
Zn (0.532, 0.468, 0.750)
Se (0.080, 0.920, 0.250)
Se (0.361, 0.639, 0.074)
Se (0.361, 0.639, 0.426)
Se (0.639, 0.361, 0.574)
Se (0.639, 0.361, 0.926)
Se (0.920, 0.080, 0.750)

Properties
total magnetization = 0.0 μB per cell
crystal system = orthorhombic
mass density = 5.05 Mg/m³
uncorrected energy = -4.2683 eV/atom

=====

(12)
Here is crystalline NaSmZnSe3 at its relaxed geometry from OQMD via LeMat-Bulk. Energies are from PBE-GGA.

a b c (Å): 9.880 9.880 8.152
angles (deg): 103.80 103.80 24.07
Positions (direct):
Na (0.118, 0.118, 0.074)
Na (0.882, 0.882, 0.926)
Sm (0.173, 0.173, 0.588)
Sm (0.827, 0.827, 0.412)
Zn (0.465, 0.465, 0.271)
Zn (0.535, 0.535, 0.729)
Se (0.000, 0.000, 0.500)
Se (0.326, 0.326, 0.658)
Se (0.336, 0.336, 0.168)
Se (0.500, 0.500, 0.000)
Se (0.664, 0.664, 0.832)
Se (0.674, 0.674, 0.342)

Properties
total magnetization = 0.0 μB per cell
crystal system = monoclinic
mass density = 5.02 Mg/m³
uncorrected energy = -4.1593 eV/atom

=====

(13)
Here is crystalline NaSmZnSe3 at its relaxed geometry from OQMD via LeMat-Bulk. Energies are from PBE-GGA.

a b c (Å): 11.162 4.116 13.629
angles (deg): 90.00 90.00 90.00
Positions (direct):
Na (0.217, 0.250, 0.005)
Na (0.283, 0.750, 0.505)
Na (0.717, 0.250, 0.495)
Na (0.783, 0.750, 0.995)
Sm (0.014, 0.750, 0.740)
Sm (0.486, 0.250, 0.240)
Sm (0.514, 0.750, 0.760)
Sm (0.986, 0.250, 0.260)
Zn (0.236, 0.750, 0.218)
Zn (0.264, 0.250, 0.718)
Zn (0.736, 0.750, 0.282)
Zn (0.764, 0.250, 0.782)
Se (0.053, 0.750, 0.118)
Se (0.094, 0.250, 0.605)
Se (0.239, 0.250, 0.330)
Se (0.261, 0.750, 0.830)
Se (0.406, 0.750, 0.105)
Se (0.447, 0.250, 0.618)
Se (0.553, 0.750, 0.382)
Se (0.594, 0.250, 0.895)
Se (0.739, 0.250, 0.170)
Se (0.761, 0.750, 0.670)
Se (0.906, 0.750, 0.395)
Se (0.947, 0.250, 0.882)

Properties
total magnetization = 0.0 μB per cell
crystal system = orthorhombic
mass density = 5.05 Mg/m³
uncorrected energy = -4.2683 eV/atom

=====

(14)
Here is crystalline NaSmZnSe3 at its relaxed geometry from OQMD via LeMat-Bulk. Energies are from PBE-GGA.

a b c (Å): 8.358 4.198 16.740
angles (deg): 90.00 90.00 90.00
Positions (direct):
Na (0.067, 0.250, 0.224)
Na (0.433, 0.750, 0.724)
Na (0.567, 0.250, 0.276)
Na (0.933, 0.750, 0.776)
Sm (0.239, 0.250, 0.951)
Sm (0.261, 0.750, 0.451)
Sm (0.739, 0.250, 0.549)
Sm (0.761, 0.750, 0.049)
Zn (0.131, 0.250, 0.643)
Zn (0.369, 0.750, 0.143)
Zn (0.631, 0.250, 0.857)
Zn (0.869, 0.750, 0.357)
Se (0.000, 0.250, 0.414)
Se (0.000, 0.750, 0.586)
Se (0.126, 0.750, 0.058)
Se (0.195, 0.250, 0.783)
Se (0.305, 0.750, 0.283)
Se (0.374, 0.250, 0.558)
Se (0.500, 0.250, 0.086)
Se (0.500, 0.750, 0.914)
Se (0.626, 0.750, 0.442)
Se (0.695, 0.250, 0.717)
Se (0.805, 0.750, 0.217)
Se (0.874, 0.250, 0.942)

Properties
total magnetization = 0.0 μB per cell
crystal system = orthorhombic
mass density = 5.38 Mg/m³
uncorrected energy = -4.1999 eV/atom

=====

(15)
Here is crystalline NaSmZnSe3 at its relaxed geometry from OQMD via LeMat-Bulk. Energies are from PBE-GGA.

a b c (Å): 11.669 4.178 12.214
angles (deg): 90.00 90.00 90.00
Positions (direct):
Na (0.167, 0.250, 0.000)
Na (0.333, 0.750, 0.500)
Na (0.667, 0.250, 0.500)
Na (0.833, 0.750, 0.000)
Sm (0.024, 0.250, 0.319)
Sm (0.476, 0.750, 0.819)
Sm (0.524, 0.250, 0.181)
Sm (0.976, 0.750, 0.681)
Zn (0.249, 0.250, 0.708)
Zn (0.251, 0.750, 0.208)
Zn (0.749, 0.250, 0.792)
Zn (0.751, 0.750, 0.292)
Se (0.051, 0.750, 0.150)
Se (0.104, 0.250, 0.564)
Se (0.216, 0.750, 0.819)
Se (0.284, 0.250, 0.319)
Se (0.396, 0.750, 0.064)
Se (0.449, 0.250, 0.650)
Se (0.551, 0.750, 0.350)
Se (0.604, 0.250, 0.936)
Se (0.716, 0.750, 0.681)
Se (0.784, 0.250, 0.181)
Se (0.896, 0.750, 0.436)
Se (0.949, 0.250, 0.850)

Properties
total magnetization = 0.0 μB per cell
crystal system = orthorhombic
mass density = 5.31 Mg/m³
uncorrected energy = -4.2543 eV/atom

=====

(16)
Here is crystalline Na2TmSnSe4 at its relaxed geometry from OQMD via LeMat-Bulk. Energies are from PBE-GGA.

a b c (Å): 7.133 7.133 7.060
angles (deg): 119.59 119.59 91.23
Positions (direct):
Na (0.000, 0.000, 0.000)
Na (0.751, 0.249, 0.500)
Tm (0.250, 0.750, 0.500)
Sn (0.501, 0.499, 0.000)
Se (0.146, 0.402, 0.023)
Se (0.380, 0.123, 0.525)
Se (0.598, 0.854, 0.977)
Se (0.877, 0.620, 0.475)

Properties
total magnetization = 0.5 μB per cell
crystal system = monoclinic
mass density = 4.24 Mg/m³
uncorrected energy = -4.1305 eV/atom

=====

(17)
Here is crystalline NaSrTmSe3 at its relaxed geometry from OQMD via LeMat-Bulk. Energies are from PBE-GGA.

a b c (Å): 7.842 4.205 10.226
angles (deg): 90.00 107.36 90.00
Positions (direct):
Na (0.094, 0.250, 0.088)
Na (0.906, 0.750, 0.912)
Sr (0.284, 0.250, 0.802)
Sr (0.716, 0.750, 0.198)
Tm (0.301, 0.750, 0.356)
Tm (0.699, 0.250, 0.644)
Se (0.053, 0.250, 0.342)
Se (0.294, 0.750, 0.049)
Se (0.446, 0.750, 0.640)
Se (0.554, 0.250, 0.360)
Se (0.706, 0.250, 0.951)
Se (0.947, 0.750, 0.658)

Properties
total magnetization = 0.0 μB per cell
crystal system = monoclinic
mass density = 5.33 Mg/m³
uncorrected energy = -4.6151 eV/atom

=====

(18)
Here is crystalline NaSrTmSe3 at its relaxed geometry from OQMD via LeMat-Bulk. Energies are from PBE-GGA.

a b c (Å): 9.099 9.099 9.052
angles (deg): 104.45 104.45 26.25
Positions (direct):
Na (0.004, 0.004, 0.204)
Na (0.996, 0.996, 0.796)
Sr (0.364, 0.364, 0.433)
Sr (0.636, 0.636, 0.567)
Tm (0.334, 0.334, 0.914)
Tm (0.666, 0.666, 0.086)
Se (0.000, 0.000, 0.500)
Se (0.169, 0.169, 0.865)
Se (0.179, 0.179, 0.310)
Se (0.500, 0.500, 0.000)
Se (0.821, 0.821, 0.690)
Se (0.831, 0.831, 0.135)

Properties
total magnetization = 0.0 μB per cell
crystal system = monoclinic
mass density = 5.35 Mg/m³
uncorrected energy = -4.7339 eV/atom

=====

(19)
Here is crystalline NaSrTmSe3 at its relaxed geometry from OQMD via LeMat-Bulk. Energies are from PBE-GGA.

a b c (Å): 14.044 4.250 10.789
angles (deg): 90.00 90.00 90.00
Positions (direct):
Na (0.002, 0.250, 0.090)
Na (0.498, 0.750, 0.590)
Na (0.502, 0.250, 0.410)
Na (0.998, 0.750, 0.910)
Sr (0.239, 0.750, 0.027)
Sr (0.261, 0.250, 0.527)
Sr (0.739, 0.750, 0.473)
Sr (0.761, 0.250, 0.973)
Tm (0.018, 0.750, 0.336)
Tm (0.482, 0.250, 0.836)
Tm (0.518, 0.750, 0.164)
Tm (0.982, 0.250, 0.664)
Se (0.101, 0.750, 0.571)
Se (0.118, 0.250, 0.871)
Se (0.144, 0.250, 0.260)
Se (0.356, 0.750, 0.760)
Se (0.382, 0.750, 0.371)
Se (0.399, 0.250, 0.071)
Se (0.601, 0.750, 0.929)
Se (0.618, 0.250, 0.629)
Se (0.644, 0.250, 0.240)
Se (0.856, 0.750, 0.740)
Se (0.882, 0.750, 0.129)
Se (0.899, 0.250, 0.429)

Properties
total magnetization = 0.0 μB per cell
crystal system = orthorhombic
mass density = 5.33 Mg/m³
uncorrected energy = -4.6133 eV/atom

=====

(20)
Here is crystalline Na3TaSe4 at its relaxed geometry from OQMD via LeMat-Bulk. Energies are from PBE-GGA.

a b c (Å): 6.408 6.408 6.408
angles (deg): 109.47 109.47 109.47
Positions (direct):
Na (0.000, 0.500, 0.500)
Na (0.500, 0.000, 0.500)
Na (0.500, 0.500, 0.000)
Ta (0.000, 0.000, 0.000)
Se (0.000, 0.000, 0.621)
Se (0.000, 0.621, 0.000)
Se (0.379, 0.379, 0.379)
Se (0.621, 0.000, 0.000)

Properties
total magnetization = 0.0 μB per cell
crystal system = cubic
mass density = 4.64 Mg/m³
uncorrected energy = -4.6864 eV/atom

=====

(21)
Here is crystalline NaTaZnSe3 at its relaxed geometry from OQMD via LeMat-Bulk. Energies are from PBE-GGA.

a b c (Å): 7.289 7.289 9.896
angles (deg): 90.00 90.00 151.03
Positions (direct):
Na (0.240, 0.760, 0.750)
Na (0.760, 0.240, 0.250)
Ta (0.000, 0.000, 0.000)
Ta (0.000, 0.000, 0.500)
Zn (0.466, 0.534, 0.250)
Zn (0.534, 0.466, 0.750)
Se (0.086, 0.914, 0.250)
Se (0.366, 0.634, 0.048)
Se (0.366, 0.634, 0.452)
Se (0.634, 0.366, 0.548)
Se (0.634, 0.366, 0.952)
Se (0.914, 0.086, 0.750)

Properties
total magnetization = 2.7 μB per cell
crystal system = orthorhombic
mass density = 6.60 Mg/m³
uncorrected energy = -4.7439 eV/atom